No. 1
DFT (PBE) results for KBa2Sr2 after structural relaxation.

Lattice parameters (Å, degrees): 11.7922 11.7922 4.7266 90.00 90.00 90.00
Positions (direct):
Sr 0.3775 0.8775 0.0000
Sr 0.8775 0.6225 0.0000
Sr 0.6225 0.1225 0.0000
Sr 0.1225 0.3775 0.0000
K 0.0000 0.0000 0.0000
K 0.5000 0.5000 0.0000
Ba 0.1709 0.6709 0.5000
Ba 0.6709 0.8291 0.5000
Ba 0.8291 0.3291 0.5000
Ba 0.3291 0.1709 0.5000

The value obtained for the total energy is -1.5272 eV per atom. As for the magnetization: 0.00 Bohr magnetons per cell. The value obtained for the energy relative to the lowest polymorph listed for this composition is 95 meV/atom.

***

No. 2
DFT (PBE) results for LaMoAs2 after structural relaxation.

Lattice parameters (Å, degrees): 5.8717 5.8717 5.8717 138.43 138.43 60.24
Positions (direct):
Mo 0.7500 0.2500 0.5000
As 0.0000 0.0000 0.0000
As 0.2500 0.7500 0.5000
La 0.5000 0.5000 0.0000

The value obtained for the total energy is -6.3141 eV per atom. As for the magnetization: 2.78 Bohr magnetons per cell. The value obtained for the energy relative to the lowest polymorph listed for this composition is 596 meV/atom.

***

No. 3
DFT (PBE) results for AcMgCu2Ni2 after structural relaxation.

Lattice parameters (Å, degrees): 4.1921 4.1921 7.0541 90.00 90.00 120.00
Positions (direct):
Ac 0.0000 0.0000 0.0000
Mg 0.0000 0.0000 0.5000
Cu 0.6667 0.3333 0.6733
Cu 0.3333 0.6667 0.3267
Ni 0.6667 0.3333 0.3000
Ni 0.3333 0.6667 0.7000

The value obtained for the total energy is -4.3899 eV per atom. As for the magnetization: 0.00 Bohr magnetons per cell.

***

No. 4
DFT (PBE) results for Nd3MgP2Rh9 after structural relaxation.

Lattice parameters (Å, degrees): 6.3222 6.3222 8.0286 90.00 90.00 120.00
Positions (direct):
Nd 0.3333 0.6667 0.6522
Nd 0.0000 0.0000 0.0000
Nd 0.6667 0.3333 0.3478
Mg 0.0000 0.0000 0.5000
P 0.3333 0.6667 0.1616
P 0.6667 0.3333 0.8384
Rh 0.8310 0.1690 0.6873
Rh 0.8310 0.6621 0.6873
Rh 0.3379 0.1690 0.6873
Rh 0.6621 0.8310 0.3127
Rh 0.1690 0.3379 0.3127
Rh 0.1690 0.8310 0.3127
Rh 0.5000 0.0000 0.0000
Rh 0.0000 0.5000 0.0000
Rh 0.5000 0.5000 0.0000

The value obtained for the total energy is -6.7330 eV per atom. As for the magnetization: 0.00 Bohr magnetons per cell.

***

Number 1: energy of formation 134 meV per atom. Number 2: energy of formation -50 meV per atom. Number 3: energy of formation -147 meV per atom. Number 4: energy of formation -541 meV per atom.